# HOsW2 | the Alexandria database | GGA-PBE | relaxed
# **D(E_F)**: 4.38 states/eV/cell
# **Energy above the lowest structure with this stoichiometry**: 691 meV per atom
# **Calculated density**: 16816 kg/m³
# **Space group**: Fm-3m
data_HOsW2
_cell_length_a 4.274
_cell_length_b 4.274
_cell_length_c 4.274
_cell_angle_alpha 60.00
_cell_angle_beta 60.00
_cell_angle_gamma 60.00
_space_group_name_H-M_alt 'P 1'
_space_group_IT_number 1
_space_group_name_Hall 'P 1'
loop_
_atom_site_label
_atom_site_type_symbol
_atom_site_fract_x
_atom_site_fract_y
_atom_site_fract_z
H1 H 0.000 0.000 0.000
W1 W 0.250 0.250 0.250
W2 W 0.750 0.750 0.750
Os1 Os 0.500 0.500 0.500